MgPtBr2 PBE relaxed; ΔE to the lowest computed polymorph = 508 meV per atom; final energy = -11.61 eV for the cell shown; uncorrected formation energy = -0.1572 eV/atom
1.0
4.1237 0.0000 0.0000
0.0000 3.5725 0.0000
-0.0780 0.0000 5.9404
Mg Pt Br
1 1 2
Direct
0.0000 0.0000 0.0000 Mg
0.0000 0.5000 0.5000 Pt
0.5000 0.0000 0.5000 Br
0.5000 0.5000 0.0000 Br